[1]
# Ba2Gd2Co4O11 (PBE+U, optimized geometry)
data_Ba2Gd2Co4O11
_chemical_formula_sum 'Ba2 Gd2 Co4 O11'
_space_group_name_H-M_alt 'P m m m'
_space_group_IT_number 47
_space_group_name_Hall '-P 2 2'
_cell_length_a 3.915
_cell_length_b 7.616
_cell_length_c 7.808
_cell_angle_alpha 90.00
_cell_angle_beta 90.00
_cell_angle_gamma 90.00
loop_
_atom_site_label
_atom_site_type_symbol
_atom_site_fract_x
_atom_site_fract_y
_atom_site_fract_z
_atom_site_occupancy
Ba1 Ba 0.000 0.000 0.250 1
Gd1 Gd 0.000 0.500 0.230 1
Co1 Co 0.500 0.249 0.500 1
Co2 Co 0.500 0.253 0.000 1
O1 O 0.000 0.278 0.000 1
O2 O 0.000 0.301 0.500 1
O3 O 0.500 0.000 0.000 1
O4 O 0.500 0.000 0.500 1
O5 O 0.500 0.300 0.269 1
O6 O 0.500 0.500 0.000 1
# VASP energy   -142.77 eV/cell
# DOS(E_F)   0.169 states/eV per atom
# Crystal system   orthorhombic

---

[2]
# BaGdCo2O6 (PBE+U, optimized geometry)
data_BaGdCo2O6
_chemical_formula_sum 'Ba1 Gd1 Co2 O6'
_space_group_name_H-M_alt 'P 4/m m m'
_space_group_IT_number 123
_space_group_name_Hall '-P 4 2'
_cell_length_a 3.978
_cell_length_b 3.978
_cell_length_c 7.510
_cell_angle_alpha 90.00
_cell_angle_beta 90.00
_cell_angle_gamma 90.00
loop_
_atom_site_label
_atom_site_type_symbol
_atom_site_fract_x
_atom_site_fract_y
_atom_site_fract_z
_atom_site_occupancy
Ba1 Ba 0.000 0.000 0.000 1
Gd1 Gd 0.000 0.000 0.500 1
Co1 Co 0.500 0.500 0.255 1
O1 O 0.000 0.500 0.279 1
O2 O 0.500 0.500 0.000 1
O3 O 0.500 0.500 0.500 1
# VASP energy   -74.12 eV/cell
# DOS(E_F)   0.209 states/eV per atom
# Crystal system   tetragonal